Here is crystalline HfCu3Ir at its relaxed geometry from Alexandria. Energies are from GGA-PBE.

Cell and atoms, written as extended XYZ:
```
5
Lattice="4.554 0.000 0.000 0.000 4.554 0.000 0.000 0.000 4.554" Properties=species:S:1:pos:R:3 pbc="T T T"
Hf 0.000 0.000 0.000
Cu 0.000 2.277 2.277
Cu 2.277 0.000 2.277
Cu 2.277 2.277 0.000
Ir 2.277 2.277 2.277
```

VASP energy ... -5.278 eV per atom
SG ... No. 221
ΔH_f (0 K) ... 0.9426 eV/atom